Entry 1:
A relaxed LiTb2Ir crystal, computed with PBE.

The total magnetization is 0.000 μB per atom. As for the formation energy: -0.439 eV/atom.

Cell: 4.850 4.850 3.637 Å, 90.00 90.00 90.00°
Fractional positions:
Li 0.000 0.000 0.000
Tb 0.000 0.500 0.500
Tb 0.500 0.000 0.500
Ir 0.500 0.500 0.000


Entry 2:
A relaxed LiTb3Ir8 crystal, computed with PBE.

The total magnetization is 0.000 μB per atom. As for the formation energy: -0.637 eV/atom.

Cell: 9.230 9.230 9.230 Å, 33.55 33.55 33.55°
Fractional positions:
Li 0.000 0.000 0.000
Tb 0.122 0.122 0.122
Tb 0.504 0.504 0.504
Tb 0.633 0.633 0.633
Ir 0.066 0.066 0.567
Ir 0.066 0.565 0.565
Ir 0.066 0.567 0.066
Ir 0.316 0.316 0.316
Ir 0.565 0.066 0.565
Ir 0.565 0.565 0.066
Ir 0.567 0.066 0.066
Ir 0.816 0.816 0.816